Record 1
Compound: KLaP4O12
Source: Alexandria
Functional: meta-GGA SCAN
Structure: single point on PBEsol structure

Lattice parameters (Å, degrees): 7.3439 8.5663 8.0972 90.00 91.94 90.00
Space group P2_1 (No. 4)
Inequivalent atoms, fractional coordinates:
K: 0.2308 0.0000 0.2809 (multiplicity 2)
La: 0.2649 0.6794 0.7577 (multiplicity 2)
P: 0.0681 0.0563 0.9008 (multiplicity 2)
P: 0.1216 0.4275 0.3954 (multiplicity 2)
P: 0.3987 0.2563 0.8927 (multiplicity 2)
P: 0.4983 0.0308 0.6178 (multiplicity 2)
O: 0.0380 0.2739 0.3493 (multiplicity 2)
O: 0.0464 0.5615 0.2712 (multiplicity 2)
O: 0.0575 0.5897 0.9613 (multiplicity 2)
O: 0.1081 0.4874 0.5680 (multiplicity 2)
O: 0.1857 0.9149 0.9246 (multiplicity 2)
O: 0.1883 0.2094 0.8679 (multiplicity 2)
O: 0.3300 0.9319 0.6113 (multiplicity 2)
O: 0.3313 0.4178 0.3459 (multiplicity 2)
O: 0.4176 0.4162 0.8212 (multiplicity 2)
O: 0.4615 0.2252 0.0678 (multiplicity 2)
O: 0.4705 0.6313 0.5303 (multiplicity 2)
O: 0.4906 0.6341 0.2175 (multiplicity 2)

Calculated values
energy relative to the elements, uncorrected: -2.737 eV/atom
energy: -12.060 eV per atom

Record 2
Compound: KLaTa2O7
Source: Alexandria
Functional: meta-GGA SCAN
Structure: single point on PBEsol structure

Lattice parameters (Å, degrees): 3.8764 3.8874 22.1108 90.00 90.00 90.00
Space group Amm2 (No. 38)
Inequivalent atoms, fractional coordinates:
K: 0.0000 0.0000 0.0000 (multiplicity 2)
La: 0.0000 0.0000 0.7647 (multiplicity 2)
Ta: 0.5000 0.0000 0.1634 (multiplicity 2)
Ta: 0.5000 0.0000 0.3668 (multiplicity 2)
O: 0.0000 0.0000 0.1837 (multiplicity 2)
O: 0.0000 0.0000 0.3484 (multiplicity 2)
O: 0.5000 0.0000 0.0827 (multiplicity 2)
O: 0.5000 0.0000 0.2662 (multiplicity 2)
O: 0.5000 0.0000 0.4484 (multiplicity 2)
O: 0.5000 0.0000 0.6839 (multiplicity 2)
O: 0.5000 0.0000 0.8486 (multiplicity 2)

Calculated values
energy relative to the elements, uncorrected: -3.191 eV/atom
energy: -23.938 eV per atom

Record 3
Compound: K2La2Ti3O10
Source: Alexandria
Functional: meta-GGA SCAN
Structure: single point on PBEsol structure

Lattice parameters (Å, degrees): 3.8666 3.8666 29.5595 90.00 90.00 90.00
Space group I4/mmm (No. 139)
Inequivalent atoms, fractional coordinates:
K: 0.0000 0.0000 0.2077 (multiplicity 4)
La: 0.0000 0.0000 0.0715 (multiplicity 4)
Ti: 0.0000 0.0000 0.3598 (multiplicity 4)
Ti: 0.0000 0.0000 0.5000 (multiplicity 2)
O: 0.0000 0.0000 0.3005 (multiplicity 4)
O: 0.0000 0.0000 0.4353 (multiplicity 4)
O: 0.0000 0.5000 0.0000 (multiplicity 4)
O: 0.0000 0.5000 0.1266 (multiplicity 8)

Calculated values
energy relative to the elements, uncorrected: -3.344 eV/atom
energy: -15.889 eV per atom

Record 4
Compound: K2LaOs
Source: Alexandria
Functional: meta-GGA SCAN
Structure: single point on PBEsol structure

Lattice parameters (Å, degrees): 4.7834 4.7834 5.5180 90.00 90.00 90.00
Space group P4/mmm (No. 123)
Inequivalent atoms, fractional coordinates:
K: 0.0000 0.0000 0.2369 (multiplicity 2)
La: 0.5000 0.5000 0.5000 (multiplicity 1)
Os: 0.5000 0.5000 0.0000 (multiplicity 1)

Calculated values
calculated formation energy: 1.166 eV per atom
energy: -31.745 eV per atom

Record 5
Compound: KLa2Os
Source: Alexandria
Functional: meta-GGA SCAN
Structure: single point on PBEsol structure

Lattice parameters (Å, degrees): 3.5236 3.5236 11.0236 90.00 90.00 90.00
Space group P4/mmm (No. 123)
Inequivalent atoms, fractional coordinates:
K: 0.0000 0.0000 0.0000 (multiplicity 1)
La: 0.5000 0.5000 0.3462 (multiplicity 2)
Os: 0.0000 0.0000 0.5000 (multiplicity 1)

Calculated values
calculated formation energy: -0.026 eV per atom
energy: -41.631 eV per atom
offset from the most stable computed form: 35 kJ/mol of formula units

Record 6
Compound: KLaOs2
Source: Alexandria
Functional: meta-GGA SCAN
Structure: single point on PBEsol structure

Lattice parameters (Å, degrees): 3.9605 3.9605 4.9406 90.00 90.00 90.00
Space group P4/mmm (No. 123)
Inequivalent atoms, fractional coordinates:
K: 0.0000 0.0000 0.0000 (multiplicity 1)
La: 0.5000 0.5000 0.0000 (multiplicity 1)
Os: 0.0000 0.5000 0.5000 (multiplicity 2)

Calculated values
calculated formation energy: 1.185 eV per atom
energy: -47.613 eV per atom
offset from the most stable computed form: 81 kJ/mol of formula units

Record 7
Compound: KLaOs2
Source: Alexandria
Functional: meta-GGA SCAN
Structure: single point on PBEsol structure

Lattice parameters (Å, degrees): 5.6996 10.0834 2.8550 90.00 113.55 90.00
Space group C2/m (No. 12)
Inequivalent atoms, fractional coordinates:
K: 0.0000 0.0000 0.0000 (multiplicity 2)
La: 0.0000 0.5000 0.0000 (multiplicity 2)
Os: 0.2500 0.2500 0.5000 (multiplicity 4)

Calculated values
calculated formation energy: 1.158 eV per atom
energy: -47.641 eV per atom
offset from the most stable computed form: 71 kJ/mol of formula units

Record 8
Compound: KLaOs2
Source: Alexandria
Functional: meta-GGA SCAN
Structure: single point on PBEsol structure

Lattice parameters (Å, degrees): 3.9671 3.9671 9.8570 90.00 90.00 90.00
Space group I4/mmm (No. 139)
Inequivalent atoms, fractional coordinates:
K: 0.0000 0.0000 0.0000 (multiplicity 2)
La: 0.0000 0.0000 0.5000 (multiplicity 2)
Os: 0.0000 0.5000 0.2500 (multiplicity 4)

Calculated values
calculated formation energy: 1.177 eV per atom
energy: -47.621 eV per atom
offset from the most stable computed form: 78 kJ/mol of formula units